(1)
This record from Alexandria via LeMat-Bulk describes Y2InTe at its PBEsol-relaxed geometry. The functional is meta-GGA SCAN.

## Properties
Relative energy among the computed polymorphs (eV per atom): 0.000
Raw formation energy (eV per atom): -1.041
Theoretical density (Mg/m³): 6.18
VASP energy (eV/f.u.): -130.49
Total moment (Bohr magnetons per cell): 0.00

Cell: 4.0769 4.0769 23.5238 Å, 90.00 90.00 120.00°
Fractional coordinates of all 12 atoms:
Y (0.0000, 0.0000, 0.2483)
Y (0.0000, 0.0000, 0.7517)
Y (0.3333, 0.6667, 0.4183)
Y (0.3333, 0.6667, 0.9150)
Y (0.6667, 0.3333, 0.0850)
Y (0.6667, 0.3333, 0.5817)
In (0.0000, 0.0000, 0.0000)
In (0.3333, 0.6667, 0.6667)
In (0.6667, 0.3333, 0.3333)
Te (0.0000, 0.0000, 0.5000)
Te (0.3333, 0.6667, 0.1667)
Te (0.6667, 0.3333, 0.8333)

(2)
This record from Alexandria via LeMat-Bulk describes Cu3P8Se6Br3 at its PBEsol-relaxed geometry. The functional is meta-GGA SCAN.

## Properties
Raw formation energy (eV per atom): -0.213
Theoretical density (Mg/m³): 3.89
VASP energy (eV/f.u.): -311.90
Total moment (Bohr magnetons per cell): 0.00

Cell: 6.3882 27.0408 11.3910 Å, 90.00 90.00 90.00°
Fractional coordinates of all 80 atoms:
Cu (0.1994, 0.2500, 0.1363)
Cu (0.2379, 0.0034, 0.3583)
Cu (0.2379, 0.4966, 0.3583)
Cu (0.2621, 0.5034, 0.8583)
Cu (0.2621, 0.9966, 0.8583)
Cu (0.3006, 0.7500, 0.6363)
Cu (0.6994, 0.2500, 0.3637)
Cu (0.7379, 0.0034, 0.1417)
Cu (0.7379, 0.4966, 0.1417)
Cu (0.7621, 0.5034, 0.6417)
Cu (0.7621, 0.9966, 0.6417)
Cu (0.8006, 0.7500, 0.8637)
P (0.0973, 0.1816, 0.0474)
P (0.0973, 0.3184, 0.0474)
P (0.1338, 0.5691, 0.9533)
P (0.1338, 0.9309, 0.9533)
P (0.1360, 0.0677, 0.9239)
P (0.1360, 0.4323, 0.9239)
P (0.1691, 0.6016, 0.1364)
P (0.1691, 0.8984, 0.1364)
P (0.3309, 0.1016, 0.6364)
P (0.3309, 0.3984, 0.6364)
P (0.3640, 0.5677, 0.4239)
P (0.3640, 0.9323, 0.4239)
P (0.3662, 0.0691, 0.4533)
P (0.3662, 0.4309, 0.4533)
P (0.4027, 0.6816, 0.5474)
P (0.4027, 0.8184, 0.5474)
P (0.5973, 0.1816, 0.4526)
P (0.5973, 0.3184, 0.4526)
P (0.6338, 0.5691, 0.5467)
P (0.6338, 0.9309, 0.5467)
P (0.6360, 0.0677, 0.5761)
P (0.6360, 0.4323, 0.5761)
P (0.6691, 0.6016, 0.3636)
P (0.6691, 0.8984, 0.3636)
P (0.8309, 0.1016, 0.8636)
P (0.8309, 0.3984, 0.8636)
P (0.8640, 0.5677, 0.0761)
P (0.8640, 0.9323, 0.0761)
P (0.8662, 0.0691, 0.0467)
P (0.8662, 0.4309, 0.0467)
P (0.9027, 0.6816, 0.9526)
P (0.9027, 0.8184, 0.9526)
Se (0.0767, 0.6314, 0.8286)
Se (0.0767, 0.8686, 0.8286)
Se (0.1222, 0.6833, 0.1090)
Se (0.1222, 0.8167, 0.1090)
Se (0.1522, 0.6302, 0.4763)
Se (0.1522, 0.8698, 0.4763)
Se (0.3478, 0.1302, 0.9763)
Se (0.3478, 0.3698, 0.9763)
Se (0.3778, 0.1833, 0.6090)
Se (0.3778, 0.3167, 0.6090)
Se (0.4233, 0.1314, 0.3286)
Se (0.4233, 0.3686, 0.3286)
Se (0.5767, 0.6314, 0.6714)
Se (0.5767, 0.8686, 0.6714)
Se (0.6222, 0.6833, 0.3910)
Se (0.6222, 0.8167, 0.3910)
Se (0.6522, 0.6302, 0.0237)
Se (0.6522, 0.8698, 0.0237)
Se (0.8478, 0.1302, 0.5237)
Se (0.8478, 0.3698, 0.5237)
Se (0.8778, 0.1833, 0.8910)
Se (0.8778, 0.3167, 0.8910)
Se (0.9233, 0.1314, 0.1714)
Se (0.9233, 0.3686, 0.1714)
Br (0.0735, 0.2500, 0.3377)
Br (0.1352, 0.5115, 0.6582)
Br (0.1352, 0.9885, 0.6582)
Br (0.3648, 0.0115, 0.1582)
Br (0.3648, 0.4885, 0.1582)
Br (0.4265, 0.7500, 0.8377)
Br (0.5735, 0.2500, 0.1623)
Br (0.6352, 0.5115, 0.8418)
Br (0.6352, 0.9885, 0.8418)
Br (0.8648, 0.0115, 0.3418)
Br (0.8648, 0.4885, 0.3418)
Br (0.9265, 0.7500, 0.6623)

(3)
This record from Alexandria via LeMat-Bulk describes AlSeN2O at its PBEsol-relaxed geometry. The functional is meta-GGA SCAN.

## Properties
Raw formation energy (eV per atom): 1.035
Theoretical density (Mg/m³): 3.57
VASP energy (eV/f.u.): -47.47
Total moment (Bohr magnetons per cell): 0.00

Cell: 3.4741 3.4741 5.7761 Å, 90.00 90.00 90.00°
Fractional coordinates of all 5 atoms:
Al (0.0000, 0.0000, 0.0000)
Se (0.0000, 0.0000, 0.5000)
N (0.0000, 0.5000, 0.0000)
N (0.5000, 0.0000, 0.0000)
O (0.5000, 0.5000, 0.5000)